Density functional theory data (PBE) for a geometry-optimized Nd3Sm6DyTh2 structure.

Its density of states at the Fermi level is 1.46 states/eV per atom. Its magnetization is 0.00 μB per cell. For the energy of formation from the pure elements, the calculation gives 28 meV per atom.

The space group is C2/m (No. 12) and the conventional cell measures 6.279, 10.862 and 12.039 Å, with angles of 90.00, 100.02 and 90.00 degrees. The distinct sites, in fractional coordinates, are Nd at (0.000, 0.000, 0.000), Nd at (0.000, 0.333, 0.000), Sm at (0.244, 0.000, 0.745), Sm at (0.250, 0.169, 0.256), Dy at (0.000, 0.500, 0.500) and Th at (0.000, 0.167, 0.500).

=====

Density functional theory data (PBE) for a geometry-optimized Nd2Sm5DyTh structure.

Its density of states at the Fermi level is 1.48 states/eV per atom. Its magnetization is 0.00 μB per cell. For the energy of formation from the pure elements, the calculation gives 151 meV per atom.

The space group is Cmc2_1 (No. 36) and the conventional cell measures 5.703, 20.536 and 10.581 Å, with angles of 90.00, 90.00 and 90.00 degrees. The distinct sites, in fractional coordinates, are Nd at (0.000, 0.115, 0.000), Nd at (0.000, 0.115, 0.415), Sm at (0.000, 0.015, 0.712), Sm at (0.000, 0.276, 0.417), Sm at (0.000, 0.296, 0.027), Sm at (0.000, 0.387, 0.707), Sm at (0.000, 0.481, 0.989), Dy at (0.000, 0.407, 0.276) and Th at (0.000, 0.199, 0.719).

=====

Density functional theory data (PBE) for a geometry-optimized NdSm5Dy2Th structure.

Its density of states at the Fermi level is 1.50 states/eV per atom. Its magnetization is 0.00 μB per cell. For the energy of formation from the pure elements, the calculation gives 161 meV per atom.

The space group is Cmc2_1 (No. 36) and the conventional cell measures 5.697, 20.341 and 10.538 Å, with angles of 90.00, 90.00 and 90.00 degrees. The distinct sites, in fractional coordinates, are Nd at (0.000, 0.089, 0.000), Sm at (0.000, 0.023, 0.708), Sm at (0.000, 0.111, 0.421), Sm at (0.000, 0.205, 0.742), Sm at (0.000, 0.223, 0.133), Sm at (0.000, 0.484, 0.425), Dy at (0.000, 0.384, 0.128), Dy at (0.000, 0.386, 0.714) and Th at (0.000, 0.301, 0.434).

=====

Density functional theory data (PBE) for a geometry-optimized Nd2Sm4DyTh structure.

Its density of states at the Fermi level is 1.97 states/eV per atom. Its magnetization is 0.00 μB per cell. For the energy of formation from the pure elements, the calculation gives 134 meV per atom.

The space group is P2/m (No. 10) and the conventional cell measures 6.057, 6.060 and 7.330 Å, with angles of 90.00, 90.09 and 90.00 degrees. The distinct sites, in fractional coordinates, are Nd at (0.000, 0.000, 0.000), Nd at (0.500, 0.500, 0.500), Sm at (0.000, 0.500, 0.247), Sm at (0.500, 0.000, 0.247), Dy at (0.000, 0.000, 0.500) and Th at (0.500, 0.500, 0.000).

=====

Density functional theory data (PBE) for a geometry-optimized NdSm3DyTh structure.

Its density of states at the Fermi level is 1.47 states/eV per atom. Its magnetization is 0.00 μB per cell. For the energy of formation from the pure elements, the calculation gives 30 meV per atom.

The space group is P2_1/m (No. 11) and the conventional cell measures 8.089, 5.116 and 10.238 Å, with angles of 90.00, 108.58 and 90.00 degrees. The distinct sites, in fractional coordinates, are Nd at (0.170, 0.250, 0.292), Sm at (0.172, 0.750, 0.544), Sm at (0.178, 0.250, 0.795), Sm at (0.178, 0.750, 0.044), Dy at (0.500, 0.250, 0.628) and Th at (0.499, 0.750, 0.878).

=====

Density functional theory data (PBE) for a geometry-optimized Nd6SmDy2Th structure.

Its density of states at the Fermi level is 1.46 states/eV per atom. Its magnetization is 0.00 μB per cell. For the energy of formation from the pure elements, the calculation gives 142 meV per atom.

The space group is C2/c (No. 15) and the conventional cell measures 9.356, 15.076 and 9.872 Å, with angles of 90.00, 98.65 and 90.00 degrees. The distinct sites, in fractional coordinates, are Nd at (0.068, 0.176, 0.443), Nd at (0.095, 0.395, 0.620), Nd at (0.205, 0.219, 0.814), Sm at (0.000, 0.406, 0.250), Dy at (0.241, 0.045, 0.050) and Th at (0.000, 0.028, 0.750).

=====

Density functional theory data (PBE) for a geometry-optimized NdSmDyTh structure.

Its density of states at the Fermi level is 1.22 states/eV per atom. Its magnetization is 0.00 μB per cell. For the energy of formation from the pure elements, the calculation gives 24 meV per atom.

The space group is P4mm (No. 99) and the conventional cell measures 3.604, 3.604 and 10.239 Å, with angles of 90.00, 90.00 and 90.00 degrees. The distinct sites, in fractional coordinates, are Nd at (0.000, 0.000, 0.000), Sm at (0.500, 0.500, 0.735), Dy at (0.500, 0.500, 0.257) and Th at (0.000, 0.000, 0.494).

=====

Density functional theory data (PBE) for a geometry-optimized NdSm2Dy4Th structure.

Its density of states at the Fermi level is 1.35 states/eV per atom. Its magnetization is 0.00 μB per cell. For the energy of formation from the pure elements, the calculation gives 29 meV per atom.

The space group is Pmmm (No. 47) and the conventional cell measures 5.087, 5.107 and 10.041 Å, with angles of 90.00, 90.00 and 90.00 degrees. The distinct sites, in fractional coordinates, are Nd at (0.000, 0.000, 0.000), Sm at (0.000, 0.000, 0.500), Sm at (0.500, 0.500, 0.000), Dy at (0.000, 0.500, 0.255), Dy at (0.500, 0.000, 0.255) and Th at (0.500, 0.500, 0.500).

=====

Density functional theory data (PBE) for a geometry-optimized NdSmDy3Th structure.

Its density of states at the Fermi level is 1.41 states/eV per atom. Its magnetization is 0.00 μB per cell. For the energy of formation from the pure elements, the calculation gives 32 meV per atom.

The space group is P2_1/m (No. 11) and the conventional cell measures 8.003, 5.081 and 10.166 Å, with angles of 90.00, 108.38 and 90.00 degrees. The distinct sites, in fractional coordinates, are Nd at (0.172, 0.250, 0.294), Sm at (0.498, 0.750, 0.871), Dy at (0.168, 0.750, 0.043), Dy at (0.169, 0.250, 0.791), Dy at (0.174, 0.750, 0.543) and Th at (0.500, 0.250, 0.622).

=====

Density functional theory data (PBE) for a geometry-optimized NdSm2DyTh structure.

Its density of states at the Fermi level is 1.35 states/eV per atom. Its magnetization is 0.00 μB per cell. For the energy of formation from the pure elements, the calculation gives 314 meV per atom.

The space group is P2/c (No. 13) and the conventional cell measures 8.616, 6.461 and 6.396 Å, with angles of 90.00, 98.15 and 90.00 degrees. The distinct sites, in fractional coordinates, are Nd at (0.000, 0.000, 0.000), Sm at (0.314, 0.310, 0.205), Dy at (0.500, 0.173, 0.750) and Th at (0.000, 0.451, 0.750).

=====

Density functional theory data (PBE) for a geometry-optimized NdSm4Dy2Th structure.

Its density of states at the Fermi level is 1.37 states/eV per atom. Its magnetization is 0.00 μB per cell. For the energy of formation from the pure elements, the calculation gives -2 meV per atom.

The space group is P2/m (No. 10) and the conventional cell measures 5.094, 5.096 and 10.248 Å, with angles of 90.00, 90.01 and 90.00 degrees. The distinct sites, in fractional coordinates, are Nd at (0.000, 0.000, 0.000), Sm at (0.002, 0.500, 0.746), Sm at (0.498, 0.000, 0.255), Dy at (0.000, 0.000, 0.500), Dy at (0.500, 0.500, 0.000) and Th at (0.500, 0.500, 0.500).

=====

Density functional theory data (PBE) for a geometry-optimized NdSm2Dy2Th2 structure.

Its density of states at the Fermi level is 1.58 states/eV per atom. Its magnetization is 0.00 μB per cell. For the energy of formation from the pure elements, the calculation gives 96 meV per atom.

The space group is C2/m (No. 12) and the conventional cell measures 17.299, 3.533 and 8.875 Å, with angles of 90.00, 119.86 and 90.00 degrees. The distinct sites, in fractional coordinates, are Nd at (0.000, 0.000, 0.000), Sm at (0.146, 0.500, 0.845), Dy at (0.206, 0.500, 0.298) and Th at (0.069, 0.000, 0.435).